# 1
Compound: Ac2Cd3Au2
Source: the Alexandria database
Functional: PBE
Structure: relaxed

Values from the calculation:
The total energy comes out at -3.0503 eV per atom. The calculation puts the calculated volume at 189 Å³/cell. The formation energy is -3.8 eV/f.u. Its symmetry is C2/m, No. 12. As for the excess energy over the best structure of this formula in the dataset: 0 meV per atom.

Lattice parameters (Å, degrees): 4.8066 5.9186 7.7249 108.14 90.00 113.96
Fractional coordinates of all 7 atoms:
Cd (0.6171, 0.2341, 0.4305)
Cd (0.5000, 0.0000, 0.0000)
Cd (0.3829, 0.7659, 0.5695)
Ac (0.1412, 0.2825, 0.7819)
Ac (0.8588, 0.7175, 0.2181)
Au (0.8404, 0.6807, 0.7816)
Au (0.1596, 0.3193, 0.2184)

---

# 2
Compound: YMgAlGe2
Source: the Alexandria database
Functional: PBE
Structure: relaxed

Values from the calculation:
The total energy comes out at -4.6916 eV per atom. The calculation puts the calculated volume at 110 Å³/cell. The formation energy is -2.4 eV/f.u. Its symmetry is P3m1, No. 156.

Lattice parameters (Å, degrees): 4.2956 4.2955 6.8996 90.00 90.00 120.00
Fractional coordinates of all 5 atoms:
Ge (0.3333, 0.6666, 0.2439)
Ge (0.6667, 0.3334, 0.7590)
Y (0.0000, 0.0000, 0.0060)
Mg (0.6666, 0.3333, 0.3619)
Al (0.3333, 0.6666, 0.6293)

---

# 3
Compound: CsRb2Tl2
Source: the Alexandria database
Functional: PBE
Structure: relaxed

Values from the calculation:
The total energy comes out at -1.4732 eV per atom. The calculation puts the calculated volume at 318 Å³/cell. The formation energy is 0.2 eV/f.u. Its symmetry is I4/mmm, No. 139. As for the excess energy over the best structure of this formula in the dataset: 76 meV per atom.

Lattice parameters (Å, degrees): 4.6598 4.6598 15.0314 81.08 81.08 90.00
Fractional coordinates of all 5 atoms:
Rb (0.3591, 0.3591, 0.2818)
Rb (0.6409, 0.6409, 0.7182)
Tl (0.7500, 0.2500, 0.5000)
Tl (0.2500, 0.7500, 0.5000)
Cs (0.0000, 0.0000, 0.0000)

---

- Look up the formation energy of the second one.
  -2.4 eV/f.u.

---

- Number 3 is which compound?
  CsRb2Tl2